No. 1
Computed, not measured: crystalline LaInN2F at its relaxed geometry at the GGA-PBE level of DFT.

Values from the calculation:
E_form (uncorrected)	-0.7627	eV per atom
crystal system	tetragonal
volume	75.94	Å³/f.u.
SG	P4/mmm

Cell lengths 4.2358, 4.2358, 4.2325 Å; angles 90.00, 90.00, 90.00 degrees
Element x y z (fractional)
La1 0.0000 0.0000 0.0000
In1 0.5000 0.5000 0.5000
N1 0.0000 0.5000 0.5000
N2 0.5000 0.0000 0.5000
F1 0.5000 0.5000 0.0000

=====

No. 2
Computed, not measured: crystalline LiTc2RuC at its relaxed geometry at the GGA-PBE level of DFT.

Values from the calculation:
energy of formation from the pure elements	2.494	eV per atom
crystal system	tetragonal
volume	95.03	Å³/f.u.
SG	P4/mmm

Cell lengths 4.6180, 4.6180, 4.4559 Å; angles 90.00, 90.00, 90.00 degrees
Element x y z (fractional)
Li1 0.0000 0.0000 0.0000
Tc1 0.0000 0.5000 0.5000
Tc2 0.5000 0.0000 0.5000
Ru1 0.0000 0.0000 0.5000
C1 0.5000 0.5000 0.0000

=====

No. 3
Computed, not measured: crystalline Hf2MnS at its relaxed geometry at the GGA-PBE level of DFT.

Values from the calculation:
E_form (uncorrected)	0.3216	eV per atom
crystal system	tetragonal
volume	92.00	Å³/f.u.
SG	I-42d

Cell lengths 7.1290, 7.1290, 7.1290 Å; angles 134.07, 134.07, 66.98 degrees
Element x y z (fractional)
Hf1 0.0985 0.6250 0.9735
Hf2 0.3750 0.3485 0.4735
Hf3 0.6515 0.1250 0.0265
Hf4 0.8750 0.9015 0.5265
Mn1 0.0000 0.0000 0.0000
Mn2 0.7500 0.2500 0.5000
S1 0.2500 0.7500 0.5000
S2 0.5000 0.5000 0.0000

=====

No. 4
Computed, not measured: crystalline CuReTc2 at its relaxed geometry at the GGA-PBE level of DFT.

Values from the calculation:
energy of formation from the pure elements	0.227	eV per atom
crystal system	tetragonal
volume	56.44	Å³/f.u.
SG	I-4m2

Cell lengths 4.7266, 4.7266, 4.7266 Å; angles 132.43, 132.43, 69.56 degrees
Element x y z (fractional)
Cu1 0.0000 0.0000 0.0000
Re1 0.2500 0.7500 0.5000
Tc1 0.5000 0.5000 0.0000
Tc2 0.7500 0.2500 0.5000